1.
# RbPtW2C, optimized geometry, DFT PBEsol
data_RbPtW2C
_chemical_formula_sum 'Rb1 Pt1 W2 C1'
_symmetry_space_group_name_H-M 'P 4/m m m'
_symmetry_Int_Tables_number 123
_symmetry_space_group_name_Hall '-P 4 2'
_cell_length_a 4.215
_cell_length_b 4.215
_cell_length_c 4.612
_cell_angle_alpha 90.00
_cell_angle_beta 90.00
_cell_angle_gamma 90.00
loop_
_atom_site_label
_atom_site_type_symbol
_atom_site_fract_x
_atom_site_fract_y
_atom_site_fract_z
_atom_site_occupancy
Rb1 Rb 0.000 0.000 0.000 1
Pt1 Pt 0.500 0.500 0.000 1
W1 W 0.000 0.500 0.500 1
C1 C 0.500 0.500 0.500 1
# **M_tot**: 0.00 μB per cell
# **Energy of formation from the pure elements**: 6.7 eV/f.u.

2.
# Re3PtC, optimized geometry, DFT PBEsol
data_Re3PtC
_chemical_formula_sum 'Re3 Pt1 C1'
_symmetry_space_group_name_H-M 'P m -3 m'
_symmetry_Int_Tables_number 221
_symmetry_space_group_name_Hall '-P 4 2 3'
_cell_length_a 4.682
_cell_length_b 4.682
_cell_length_c 4.682
_cell_angle_alpha 90.00
_cell_angle_beta 90.00
_cell_angle_gamma 90.00
loop_
_atom_site_label
_atom_site_type_symbol
_atom_site_fract_x
_atom_site_fract_y
_atom_site_fract_z
_atom_site_occupancy
Re1 Re 0.000 0.000 0.500 1
Pt1 Pt 0.000 0.000 0.000 1
C1 C 0.500 0.500 0.500 1
# **M_tot**: 1.06 μB per cell
# **Energy of formation from the pure elements**: 19.8 eV/f.u.

3.
# RePtC2, optimized geometry, DFT PBEsol
data_RePtC2
_chemical_formula_sum 'Re4 Pt4 C8'
_symmetry_space_group_name_H-M 'F m -3 m'
_symmetry_Int_Tables_number 225
_symmetry_space_group_name_Hall '-F 4 2 3'
_cell_length_a 5.434
_cell_length_b 5.434
_cell_length_c 5.434
_cell_angle_alpha 90.00
_cell_angle_beta 90.00
_cell_angle_gamma 90.00
loop_
_atom_site_label
_atom_site_type_symbol
_atom_site_fract_x
_atom_site_fract_y
_atom_site_fract_z
_atom_site_occupancy
Re1 Re 0.000 0.000 0.000 1
Pt1 Pt 0.000 0.000 0.500 1
C1 C 0.250 0.250 0.250 1
# **M_tot**: 0.00 μB per cell
# **Energy of formation from the pure elements**: 5.9 eV/f.u.

4.
# PtRh2WC, optimized geometry, DFT PBEsol
data_PtRh2WC
_chemical_formula_sum 'Pt1 Rh2 W1 C1'
_symmetry_space_group_name_H-M 'P 4/m m m'
_symmetry_Int_Tables_number 123
_symmetry_space_group_name_Hall '-P 4 2'
_cell_length_a 3.987
_cell_length_b 3.987
_cell_length_c 4.215
_cell_angle_alpha 90.00
_cell_angle_beta 90.00
_cell_angle_gamma 90.00
loop_
_atom_site_label
_atom_site_type_symbol
_atom_site_fract_x
_atom_site_fract_y
_atom_site_fract_z
_atom_site_occupancy
Pt1 Pt 0.000 0.000 0.000 1
Rh1 Rh 0.000 0.500 0.500 1
W1 W 0.500 0.500 0.000 1
C1 C 0.000 0.000 0.500 1
# **M_tot**: 1.98 μB per cell
# **Energy of formation from the pure elements**: 3.1 eV/f.u.

5.
# Ru2PtC2, optimized geometry, DFT PBEsol
data_Ru2PtC2
_chemical_formula_sum 'Ru4 Pt2 C4'
_symmetry_space_group_name_H-M 'I 4/m m m'
_symmetry_Int_Tables_number 139
_symmetry_space_group_name_Hall '-I 4 2'
_cell_length_a 3.763
_cell_length_b 3.763
_cell_length_c 7.551
_cell_angle_alpha 90.00
_cell_angle_beta 90.00
_cell_angle_gamma 90.00
loop_
_atom_site_label
_atom_site_type_symbol
_atom_site_fract_x
_atom_site_fract_y
_atom_site_fract_z
_atom_site_occupancy
Ru1 Ru 0.000 0.500 0.250 1
Pt1 Pt 0.000 0.000 0.000 1
C1 C 0.000 0.000 0.398 1
# **M_tot**: 0.00 μB per cell
# **Energy of formation from the pure elements**: 2.9 eV/f.u.
# **Relative energy among the computed polymorphs**: 0 meV/atom

6.
# Ru2PtC2, optimized geometry, DFT PBEsol
data_Ru2PtC2
_chemical_formula_sum 'Ru4 Pt2 C4'
_symmetry_space_group_name_H-M 'I 4/m m m'
_symmetry_Int_Tables_number 139
_symmetry_space_group_name_Hall '-I 4 2'
_cell_length_a 3.273
_cell_length_b 3.273
_cell_length_c 10.506
_cell_angle_alpha 90.00
_cell_angle_beta 90.00
_cell_angle_gamma 90.00
loop_
_atom_site_label
_atom_site_type_symbol
_atom_site_fract_x
_atom_site_fract_y
_atom_site_fract_z
_atom_site_occupancy
Ru1 Ru 0.000 0.000 0.135 1
Pt1 Pt 0.000 0.000 0.500 1
C1 C 0.000 0.500 0.250 1
# **M_tot**: 0.00 μB per cell
# **Energy of formation from the pure elements**: 3.9 eV/f.u.
# **Relative energy among the computed polymorphs**: 197 meV/atom

7.
# PtC3S, optimized geometry, DFT PBEsol
data_PtC3S
_chemical_formula_sum 'Pt1 C3 S1'
_symmetry_space_group_name_H-M 'P m -3 m'
_symmetry_Int_Tables_number 221
_symmetry_space_group_name_Hall '-P 4 2 3'
_cell_length_a 3.956
_cell_length_b 3.956
_cell_length_c 3.956
_cell_angle_alpha 90.00
_cell_angle_beta 90.00
_cell_angle_gamma 90.00
loop_
_atom_site_label
_atom_site_type_symbol
_atom_site_fract_x
_atom_site_fract_y
_atom_site_fract_z
_atom_site_occupancy
Pt1 Pt 0.000 0.000 0.000 1
C1 C 0.000 0.000 0.500 1
S1 S 0.500 0.500 0.500 1
# **M_tot**: 0.82 μB per cell
# **Electronic total energy**: -5.528 eV per atom

8.
# SbPtC2, optimized geometry, DFT PBEsol
data_SbPtC2
_chemical_formula_sum 'Sb4 Pt4 C8'
_symmetry_space_group_name_H-M 'I -4 2 d'
_symmetry_Int_Tables_number 122
_symmetry_space_group_name_Hall 'I -4 2bw'
_cell_length_a 4.839
_cell_length_b 4.839
_cell_length_c 9.953
_cell_angle_alpha 90.00
_cell_angle_beta 90.00
_cell_angle_gamma 90.00
loop_
_atom_site_label
_atom_site_type_symbol
_atom_site_fract_x
_atom_site_fract_y
_atom_site_fract_z
_atom_site_occupancy
Sb1 Sb 0.000 0.000 0.000 1
Pt1 Pt 0.000 0.000 0.500 1
C1 C 0.227 0.250 0.625 1
# **M_tot**: 0.00 μB per cell
# **Electronic total energy**: -6.566 eV per atom

9.
# SbTe2PtC, optimized geometry, DFT PBEsol
data_SbTe2PtC
_chemical_formula_sum 'Sb1 Te2 Pt1 C1'
_symmetry_space_group_name_H-M 'P 4/m m m'
_symmetry_Int_Tables_number 123
_symmetry_space_group_name_Hall '-P 4 2'
_cell_length_a 5.314
_cell_length_b 5.314
_cell_length_c 5.041
_cell_angle_alpha 90.00
_cell_angle_beta 90.00
_cell_angle_gamma 90.00
loop_
_atom_site_label
_atom_site_type_symbol
_atom_site_fract_x
_atom_site_fract_y
_atom_site_fract_z
_atom_site_occupancy
Sb1 Sb 0.000 0.000 0.000 1
Te1 Te 0.000 0.500 0.500 1
Pt1 Pt 0.000 0.000 0.500 1
C1 C 0.500 0.500 0.000 1
# **M_tot**: 1.05 μB per cell
# **Electronic total energy**: -3.876 eV per atom

10.
# ScPt3C, optimized geometry, DFT PBEsol
data_ScPt3C
_chemical_formula_sum 'Sc1 Pt3 C1'
_symmetry_space_group_name_H-M 'P m -3 m'
_symmetry_Int_Tables_number 221
_symmetry_space_group_name_Hall '-P 4 2 3'
_cell_length_a 4.190
_cell_length_b 4.190
_cell_length_c 4.190
_cell_angle_alpha 90.00
_cell_angle_beta 90.00
_cell_angle_gamma 90.00
loop_
_atom_site_label
_atom_site_type_symbol
_atom_site_fract_x
_atom_site_fract_y
_atom_site_fract_z
_atom_site_occupancy
Sc1 Sc 0.000 0.000 0.000 1
Pt1 Pt 0.000 0.500 0.500 1
C1 C 0.500 0.500 0.500 1
# **M_tot**: 0.00 μB per cell
# **Energy of formation from the pure elements**: -1.0 eV/f.u.

11.
# Pt2CSe, optimized geometry, DFT PBEsol
data_Pt2CSe
_chemical_formula_sum 'Pt8 C4 Se4'
_symmetry_space_group_name_H-M 'F m -3 m'
_symmetry_Int_Tables_number 225
_symmetry_space_group_name_Hall '-F 4 2 3'
_cell_length_a 6.039
_cell_length_b 6.039
_cell_length_c 6.039
_cell_angle_alpha 90.00
_cell_angle_beta 90.00
_cell_angle_gamma 90.00
loop_
_atom_site_label
_atom_site_type_symbol
_atom_site_fract_x
_atom_site_fract_y
_atom_site_fract_z
_atom_site_occupancy
Pt1 Pt 0.250 0.250 0.250 1
C1 C 0.000 0.000 0.000 1
Se1 Se 0.000 0.000 0.500 1
# **M_tot**: 0.00 μB per cell
# **Electronic total energy**: -5.630 eV per atom

12.
# SrPtC2, optimized geometry, DFT PBEsol
data_SrPtC2
_chemical_formula_sum 'Sr4 Pt4 C8'
_symmetry_space_group_name_H-M 'I -4 2 d'
_symmetry_Int_Tables_number 122
_symmetry_space_group_name_Hall 'I -4 2bw'
_cell_length_a 5.173
_cell_length_b 5.173
_cell_length_c 10.326
_cell_angle_alpha 90.00
_cell_angle_beta 90.00
_cell_angle_gamma 90.00
loop_
_atom_site_label
_atom_site_type_symbol
_atom_site_fract_x
_atom_site_fract_y
_atom_site_fract_z
_atom_site_occupancy
Sr1 Sr 0.000 0.000 0.000 1
Pt1 Pt 0.000 0.000 0.500 1
C1 C 0.137 0.250 0.625 1
# **M_tot**: 0.00 μB per cell
# **Energy of formation from the pure elements**: 3.3 eV/f.u.

Looking at density of states at the Fermi level for the records above, in order, we have 0.915 1.366 0.368 1.470 0.484 0.600 0.623 0.306 1.022 0.754 0.579 0.426 states/eV/atom.